Na3Hg8Pb2 | PBE | optimized geometry

a = 6.2572 Å, b = 6.2572 Å, c = 34.5602 Å
α = 90.00°, β = 90.00°, γ = 120.00°
Space group R-3m (No. 166, hexagonal axes)
Unique sites:
Na1 0.0000 0.0000 0.0000 x3
Na2 0.0000 0.0000 0.2134 x6
Hg1 0.0000 0.0000 0.3007 x6
Hg2 0.0129 0.5064 0.7956 x18
Pb1 0.0000 0.0000 0.3899 x6

- Fermi-level density of states (states/eV/atom) = 0.364
- ΔE_f (eV/f.u.) = -0.46
- magnetization (μB/f.u.) = 0.00